YZn3Au10 | PBE | optimized geometry

Calculated values
D(E_F)	5.88	states/eV/f.u.
space group	Fm-3m
energy of formation	-0.16	eV/atom

The structure in POSCAR format:
```
YZn3Au10
1.0
0.000 6.478 6.478
6.478 0.000 6.478
6.478 6.478 0.000
Y Zn Au
2 6 20
Cartesian
3.239 3.239 3.239
9.718 9.718 9.718
6.478 6.478 2.986
6.478 2.986 6.478
9.971 6.478 6.478
2.986 6.478 6.478
6.478 9.971 6.478
6.478 6.478 9.971
1.553 1.553 1.553
4.925 4.925 1.553
4.925 1.553 4.925
6.478 4.245 4.245
8.712 6.478 4.245
8.712 4.245 6.478
11.404 8.031 8.031
4.245 6.478 4.245
6.478 8.712 4.245
4.245 4.245 6.478
8.712 8.712 6.478
6.478 4.245 8.712
8.712 6.478 8.712
1.553 4.925 4.925
4.245 8.712 6.478
4.245 6.478 8.712
6.478 8.712 8.712
8.031 11.404 8.031
8.031 8.031 11.404
11.404 11.404 11.404
```